Compound: B5C7
Source: Alexandria
Functional: PBE
Structure: optimized geometry

Values from the calculation:
Total magnetic moment in μB per cell: 0.0
Relative energy among the computed polymorphs in eV/atom: 0.146
Density of states at the Fermi level in states/eV/f.u.: 1.72
E_form in eV per atom: 0.404

a = 4.4361 Å, b = 4.5628 Å, c = 4.5742 Å
α = 118.65°, β = 95.46°, γ = 101.99°
With the nearest neighbours (Å) after each atom.
Space group P1 (No. 1)
Symmetry-distinct sites (fractional):
B1 0.0000 0.0000 0.0000 [1 per cell]  2 C 1.62-1.63, 2 B 1.65-1.72
B2 0.0194 0.0128 0.3678 [1 per cell]  2 C 1.62-1.64, 2 B 1.65-1.78
B3 0.3924 0.1625 0.2078 [1 per cell]  1 C 1.60, 1 B 1.72
B4 0.5777 0.1865 0.8632 [1 per cell]  3 C 1.63-1.72
B5 0.6063 0.8512 0.1762 [1 per cell]  2 C 1.61-1.71, 1 B 1.78
C1 0.0843 0.3848 0.7274 [1 per cell]  3 C 1.50-1.59, 1 B 1.64
C2 0.0932 0.6843 0.3769 [1 per cell]  3 C 1.52-1.59, 1 B 1.62
C3 0.4421 0.4933 0.8197 [1 per cell]  2 C 1.51-1.53, 1 B 1.61
C4 0.4586 0.8108 0.4915 [1 per cell]  2 C 1.55-1.59, 2 B 1.66-1.71
C5 0.5804 0.5293 0.5400 [1 per cell]  3 C 1.53-1.59, 1 B 1.60
C6 0.9430 0.6347 0.6423 [1 per cell]  3 C 1.52-1.59, 1 B 1.63
C7 0.9595 0.3480 0.0057 [1 per cell]  2 C 1.50-1.59, 2 B 1.62-1.63

Compound: CsLiBr2
Source: Alexandria
Functional: PBE
Structure: optimized geometry

Values from the calculation:
Total magnetic moment in μB per cell: 0.0
Raw formation energy in eV/atom: -1.6639
Density of states at the Fermi level in states/eV/f.u.: 0.00

a = 5.2259 Å, b = 5.2259 Å, c = 10.1371 Å
α = 90.00°, β = 90.00°, γ = 90.00°
With the nearest neighbours (Å) after each atom.
Space group P4/nmm (No. 129, origin choice 2)
Symmetry-distinct sites (fractional):
Cs1 0.2500 0.2500 0.1967 [2 per cell]  9 Br 3.69-4.03, 1 Li 3.91
Li1 0.2500 0.2500 0.5828 [2 per cell]  5 Br 2.53-2.74
Br1 0.2500 0.2500 0.8327 [2 per cell]  1 Li 2.53
Br2 0.2500 0.7500 0.5000 [2 per cell]  4 Li 2.74

Compound: Rb2TaZn
Source: Alexandria
Functional: PBE
Structure: optimized geometry

Values from the calculation:
Total magnetic moment in μB per cell: 11.5
Density of states at the Fermi level in states/eV/f.u.: 6.58
E_form in eV per atom: 1.352

a = 13.0078 Å, b = 13.0078 Å, c = 5.0912 Å
α = 90.00°, β = 90.00°, γ = 90.00°
With the nearest neighbours (Å) after each atom.
Space group I-42d (No. 122)
Symmetry-distinct sites (fractional):
Rb1 0.0852 0.7500 0.1250 [8 per cell]  2 Zn 3.49
Ta1 0.0000 0.0000 0.5000 [4 per cell]  2 Zn 2.55
Zn1 0.0000 0.0000 0.0000 [4 per cell]  2 Ta 2.55

Compound: Ac4La2Sm3
Source: Alexandria
Functional: PBE
Structure: optimized geometry

Values from the calculation:
Total magnetic moment in μB per cell: 0.0
Density of states at the Fermi level in states/eV/f.u.: 17.78
E_form in eV per atom: 0.040

a = 5.4374 Å, b = 6.5843 Å, c = 11.4345 Å
α = 73.71°, β = 89.97°, γ = 65.67°
With the nearest neighbours (Å) after each atom.
Space group P-1 (No. 2)
Symmetry-distinct sites (fractional):
Ac1 0.0046 0.4908 0.3346 [2 per cell]  6 Sm 3.77-3.85, 3 La 3.79-3.82, 3 Ac 3.82-3.86
Ac2 0.3340 0.8319 0.1117 [2 per cell]  4 Sm 3.81-3.84, 4 La 3.82-3.86, 4 Ac 3.85-3.86
La1 0.3299 0.8402 0.7730 [2 per cell]  5 Sm 3.74-3.88, 7 Ac 3.79-3.86
Sm1 0.0000 0.5000 0.0000 [1 per cell]  8 Ac 3.81-3.82, 4 La 3.88
Sm2 0.3352 0.8297 0.4478 [2 per cell]  3 La 3.74-3.83, 3 Sm 3.76-3.81, 6 Ac 3.77-3.85

Compound: GdAlH
Source: Alexandria
Functional: PBE
Structure: optimized geometry

Values from the calculation:
Total magnetic moment in μB per cell: 28.4
Relative energy among the computed polymorphs in eV/atom: 0.000
Density of states at the Fermi level in states/eV/f.u.: 1.51

a = 6.5005 Å, b = 3.7337 Å, c = 9.3948 Å
α = 90.00°, β = 103.43°, γ = 90.00°
With the nearest neighbours (Å) after each atom.
Space group C2/m (No. 12)
Symmetry-distinct sites (fractional):
Gd1 0.2202 0.0000 0.1618 [4 per cell]  4 H 2.27
Al1 0.1366 0.5000 0.4122 [4 per cell]  3 Al 2.69
H1 0.1377 0.0000 0.9136 [4 per cell]  4 Gd 2.27

Compound: CoSbHRh2
Source: Alexandria
Functional: PBE
Structure: optimized geometry

Values from the calculation:
Total magnetic moment in μB per cell: 0.7
Density of states at the Fermi level in states/eV/f.u.: 2.82
Uncorrected energy in eV per cell: -30.15

a = 3.9610 Å, b = 3.9610 Å, c = 3.8704 Å
α = 90.00°, β = 90.00°, γ = 90.00°
With the nearest neighbours (Å) after each atom.
Space group P4/mmm (No. 123)
Symmetry-distinct sites (fractional):
Co1 0.0000 0.0000 0.0000 [1 per cell]  2 H 1.94
Sb1 0.5000 0.5000 0.0000 [1 per cell]  8 Rh 2.77, 4 Co 2.80
H1 0.0000 0.0000 0.5000 [1 per cell]  2 Co 1.94, 4 Rh 1.98
Rh1 0.0000 0.5000 0.5000 [2 per cell]  2 H 1.98

Compound: Ag2GeIr
Source: Alexandria
Functional: PBE
Structure: optimized geometry

Values from the calculation:
Total magnetic moment in μB per cell: 0.0
Density of states at the Fermi level in states/eV/f.u.: 1.86
E_form in eV per atom: 0.379

a = 3.7387 Å, b = 3.7387 Å, c = 20.1938 Å
α = 90.00°, β = 90.00°, γ = 90.00°
With the nearest neighbours (Å) after each atom.
Space group I-42d (No. 122)
Symmetry-distinct sites (fractional):
Ag1 0.2476 0.2500 0.1250 [8 per cell]  4 Ag 2.63-2.66, 2 Ir 2.85, 2 Ge 2.85
Ge1 0.0000 0.0000 0.5000 [4 per cell]  4 Ir 2.64, 4 Ag 2.85
Ir1 0.0000 0.0000 0.0000 [4 per cell]  4 Ge 2.64, 4 Ag 2.85

Compound: Ti3Al4Ir
Source: Alexandria
Functional: PBE
Structure: optimized geometry

Values from the calculation:
Total magnetic moment in μB per cell: 0.0
Density of states at the Fermi level in states/eV/f.u.: 5.29
E_form in eV per atom: -0.480

a = 9.0398 Å, b = 5.4810 Å, c = 5.0740 Å
α = 90.00°, β = 90.00°, γ = 90.00°
With the nearest neighbours (Å) after each atom.
Space group Pmn2_1 (No. 31)
Symmetry-distinct sites (fractional):
Ti1 0.0000 0.1153 0.0000 [2 per cell]  8 Al 2.71-2.81, 1 Ir 2.77, 2 Ti 3.01
Ti2 0.2311 0.6278 0.7125 [4 per cell]  1 Ir 2.57, 7 Al 2.73-2.86
Al1 0.0000 0.3352 0.4998 [2 per cell]  2 Ir 2.68-2.82, 3 Al 2.69-2.79, 6 Ti 2.81-2.85
Al2 0.0000 0.6062 0.0579 [2 per cell]  3 Al 2.69-2.75, 6 Ti 2.71-2.86, 2 Ir 2.76-2.96
Al3 0.2437 0.8729 0.2096 [4 per cell]  6 Ti 2.75-2.89, 4 Al 2.75-2.90, 2 Ir 2.76-2.91
Ir1 0.0000 0.8480 0.5357 [2 per cell]  3 Ti 2.57-2.77, 5 Al 2.68-2.82